# La3SiN3O2 (PBE, optimized geometry)
data_La3SiN3O2
_symmetry_space_group_name_H-M 'F m m 2'
_symmetry_Int_Tables_number 42
_symmetry_space_group_name_Hall 'F 2 -2'
_cell_length_a 9.7243
_cell_length_b 11.1734
_cell_length_c 9.5826
_cell_angle_alpha 90.00
_cell_angle_beta 90.00
_cell_angle_gamma 90.00
loop_
_atom_site_label
_atom_site_type_symbol
_atom_site_fract_x
_atom_site_fract_y
_atom_site_fract_z
La1 La 0.0000 0.0000 0.0000
La2 La 0.0000 0.0000 0.3466
La3 La 0.1790 0.0000 0.6689
La4 La 0.2500 0.2500 0.4307
Si1 Si 0.0000 0.2476 0.1652
N1 N 0.0000 0.1504 0.5281
N2 N 0.1408 0.1509 0.1661
O1 O 0.0000 0.1539 0.8061
O2 O 0.2430 0.0000 0.9186
# D(E_F)   0.00 states/eV/f.u.
# Uncorrected energy   -74.0 eV/f.u.
# Spin magnetization   0.00 μB per formula unit
# Raw formation energy   -2.095 eV/atom